! K3Pu3PtSe8 PBE relaxed; values from VASP
! **SG**: R-3m, No. 166
! **Theoretical density**: 6.007 g/cm3
! **Size of the total moment**: 14.94 μB/f.u.
! **Final energy**: -6.53 eV per atom
&SYSTEM
  ibrav = 0, nat = 15, ntyp = 4
/
ATOMIC_SPECIES
K 39.10 K.upf
Se 78.96 Se.upf
Pu 244.00 Pu.upf
Pt 195.08 Pt.upf
CELL_PARAMETERS angstrom
8.282 -0.001 -0.002
-4.142 7.174 -0.027
-0.002 -4.750 7.817
ATOMIC_POSITIONS angstrom
K -2.071 3.587 -0.013
K 0.000 0.000 0.000
K 2.070 3.587 -0.015
Se 4.139 2.620 2.419
Se -0.002 2.401 2.284
Se 4.141 0.022 5.503
Se 6.399 -1.295 2.433
Se 2.259 3.717 5.353
Se 1.880 -1.294 2.434
Se 0.000 -0.197 5.369
Se -2.260 3.718 5.355
Pu 4.140 -2.375 3.907
Pu 2.069 1.212 3.894
Pu -2.072 1.212 3.895
Pt -0.001 -2.375 3.908

---

! KRbPt4 PBE relaxed; values from VASP
! **SG**: F-43m, No. 216
! **Theoretical density**: 12.195 g/cm3
! **Size of the total moment**: 0.00 μB/f.u.
! **Formation energy from the elements**: -0.1068 eV per atom
! **Final energy**: -4.48 eV per atom
&SYSTEM
  ibrav = 0, nat = 6, ntyp = 3
/
ATOMIC_SPECIES
Pt 195.08 Pt.upf
K 39.10 K.upf
Rb 85.47 Rb.upf
CELL_PARAMETERS angstrom
-0.337 -2.430 -5.018
-1.170 -5.448 -0.392
-4.956 -1.657 -1.973
ATOMIC_POSITIONS angstrom
Pt -1.559 -5.131 -3.628
Pt -3.455 -3.233 -4.419
Pt -3.871 -4.744 -2.104
Pt -4.040 -5.960 -4.616
K 0.000 0.000 0.000
Rb -1.616 -2.384 -1.846

---

! KRb2Pt PBE relaxed; values from VASP
! **SG**: Fm-3m, No. 225
! **Theoretical density**: 4.428 g/cm3
! **Size of the total moment**: 0.00 μB/f.u.
! **Formation energy from the elements**: 0.1955 eV per atom
! **Final energy**: -2.07 eV per atom
&SYSTEM
  ibrav = 0, nat = 4, ntyp = 3
/
ATOMIC_SPECIES
Rb 85.47 Rb.upf
Pt 195.08 Pt.upf
K 39.10 K.upf
CELL_PARAMETERS angstrom
0.000 4.235 4.235
4.235 0.000 4.235
4.235 4.235 0.000
ATOMIC_POSITIONS angstrom
Rb 2.117 2.117 2.117
Rb 6.352 6.352 6.352
Pt 4.235 4.235 4.235
K 0.000 0.000 0.000

---

! K3RbPt PBE relaxed; values from VASP
! **SG**: Pm-3m, No. 221
! **Energy above the most stable polymorph in this dataset**: 937 meV/atom
! **Theoretical density**: 2.051 g/cm3
! **Size of the total moment**: 0.00 μB/f.u.
! **Formation energy from the elements**: 0.9024 eV per atom
! **Final energy**: -1.16 eV per atom
&SYSTEM
  ibrav = 0, nat = 5, ntyp = 3
/
ATOMIC_SPECIES
K 39.10 K.upf
Rb 85.47 Rb.upf
Pt 195.08 Pt.upf
CELL_PARAMETERS angstrom
6.855 0.000 0.000
0.000 6.855 0.000
0.000 0.000 6.855
ATOMIC_POSITIONS angstrom
K 3.428 0.000 0.000
K 0.000 3.428 0.000
K 0.000 0.000 3.428
Rb 0.000 0.000 0.000
Pt 3.428 3.428 3.428

---

! KRb2Pt2 PBE relaxed; values from VASP
! **SG**: I4/mmm, No. 139
! **Energy above the most stable polymorph in this dataset**: 111 meV/atom
! **Theoretical density**: 5.377 g/cm3
! **Size of the total moment**: 0.91 μB/f.u.
! **Formation energy from the elements**: 0.2547 eV per atom
! **Final energy**: -2.77 eV per atom
&SYSTEM
  ibrav = 0, nat = 5, ntyp = 3
/
ATOMIC_SPECIES
K 39.10 K.upf
Pt 195.08 Pt.upf
Rb 85.47 Rb.upf
CELL_PARAMETERS angstrom
5.260 0.000 0.000
0.000 5.260 0.000
2.630 2.630 6.700
ATOMIC_POSITIONS angstrom
K 0.000 0.000 0.000
Pt 5.260 5.260 5.425
Pt 2.630 2.630 1.275
Rb 2.630 5.260 3.350
Rb 5.260 2.630 3.350

---

! K2Rb8Pt PBE relaxed; values from VASP
! **SG**: C2/m, No. 12
! **Theoretical density**: 1.889 g/cm3
! **Size of the total moment**: 0.00 μB/f.u.
! **Formation energy from the elements**: 0.0233 eV per atom
! **Final energy**: -1.43 eV per atom
&SYSTEM
  ibrav = 0, nat = 11, ntyp = 3
/
ATOMIC_SPECIES
Rb 85.47 Rb.upf
K 39.10 K.upf
Pt 195.08 Pt.upf
CELL_PARAMETERS angstrom
-9.087 2.236 1.012
-2.949 -7.949 -8.916
3.248 -7.871 2.776
ATOMIC_POSITIONS angstrom
Rb -2.705 -9.575 -3.139
Rb -6.083 -4.010 -1.989
Rb -4.071 -7.042 1.419
Rb -9.371 -5.397 -6.028
Rb 0.583 -8.187 0.900
Rb -8.195 -10.602 -6.385
Rb -0.594 -2.982 1.258
Rb -4.717 -6.542 -6.546
K -7.199 -8.329 -2.466
K -1.590 -5.256 -2.662
Pt 0.000 0.000 0.000

---

! K12Rb5Pt2 PBE relaxed; values from VASP
! **SG**: C2/m, No. 12
! **Theoretical density**: 1.666 g/cm3
! **Size of the total moment**: 0.00 μB/f.u.
! **Formation energy from the elements**: 0.0370 eV per atom
! **Final energy**: -1.55 eV per atom
&SYSTEM
  ibrav = 0, nat = 19, ntyp = 3
/
ATOMIC_SPECIES
K 39.10 K.upf
Rb 85.47 Rb.upf
Pt 195.08 Pt.upf
CELL_PARAMETERS angstrom
8.095 0.000 -3.083
-0.581 11.398 -1.525
0.534 0.850 13.570
ATOMIC_POSITIONS angstrom
K 0.283 1.687 0.744
K 3.716 9.487 9.754
K 7.765 10.561 8.218
K 6.331 10.272 -1.128
K 5.431 1.976 8.676
K 4.839 6.032 6.706
K 0.849 6.032 8.226
K 4.333 2.761 -0.792
K 2.618 10.272 0.286
K 7.200 6.216 0.735
K 1.718 1.976 10.090
K 3.209 6.216 2.255
Rb -0.291 5.699 -0.762
Rb 6.153 9.617 3.985
Rb 1.989 9.772 5.221
Rb 1.896 2.631 4.976
Rb 6.060 2.476 3.741
Pt 3.329 0.850 12.505
Pt 4.720 11.398 -3.544

---

! KRb2Pt2 PBE relaxed; values from VASP
! **SG**: P4/mbm, No. 127
! **Energy above the most stable polymorph in this dataset**: 0 meV/atom
! **Theoretical density**: 5.622 g/cm3
! **Size of the total moment**: 1.00 μB/f.u.
! **Formation energy from the elements**: 0.1433 eV per atom
! **Final energy**: -2.88 eV per atom
&SYSTEM
  ibrav = 0, nat = 10, ntyp = 3
/
ATOMIC_SPECIES
Rb 85.47 Rb.upf
Pt 195.08 Pt.upf
K 39.10 K.upf
CELL_PARAMETERS angstrom
8.326 0.000 0.000
0.000 8.326 0.000
0.000 0.000 5.115
ATOMIC_POSITIONS angstrom
Rb 5.530 6.958 2.557
Rb 6.958 2.796 2.557
Rb 2.796 1.367 2.557
Rb 1.367 5.530 2.557
Pt 0.913 3.250 0.000
Pt 3.250 7.413 0.000
Pt 5.076 0.913 0.000
Pt 7.413 5.076 0.000
K 0.000 0.000 0.000
K 4.163 4.163 0.000

---

! K5Rb12Pt2 PBE relaxed; values from VASP
! **SG**: P-1, No. 2
! **Theoretical density**: 1.970 g/cm3
! **Size of the total moment**: 0.00 μB/f.u.
! **Formation energy from the elements**: 0.0261 eV per atom
! **Final energy**: -1.51 eV per atom
&SYSTEM
  ibrav = 0, nat = 19, ntyp = 3
/
ATOMIC_SPECIES
Rb 85.47 Rb.upf
K 39.10 K.upf
Pt 195.08 Pt.upf
CELL_PARAMETERS angstrom
-3.933 2.185 7.020
-10.817 -4.791 -4.662
3.524 -11.296 4.955
ATOMIC_POSITIONS angstrom
Rb -6.296 -14.317 0.447
Rb -6.818 -13.150 4.494
Rb -6.742 -5.322 0.974
Rb -11.183 -6.197 -0.627
Rb -4.481 -9.674 1.837
Rb -4.484 -8.580 6.339
Rb -6.745 -4.229 5.477
Rb -11.378 -4.402 3.140
Rb -0.042 -7.705 7.941
Rb 0.153 -9.500 4.173
Rb -4.408 -0.752 2.819
Rb -4.929 0.414 6.867
K -8.819 -8.335 4.191
K -5.409 -2.395 -2.331
K -2.559 -3.950 7.368
K -8.667 -9.952 -0.054
K -2.407 -5.567 3.122
Pt -13.061 -3.595 0.167
Pt 1.835 -10.308 7.146

---

! K2RbPt PBE relaxed; values from VASP
! **SG**: Fm-3m, No. 225
! **Theoretical density**: 4.198 g/cm3
! **Size of the total moment**: 0.00 μB/f.u.
! **Formation energy from the elements**: 0.1555 eV per atom
! **Final energy**: -2.15 eV per atom
&SYSTEM
  ibrav = 0, nat = 4, ntyp = 3
/
ATOMIC_SPECIES
Rb 85.47 Rb.upf
K 39.10 K.upf
Pt 195.08 Pt.upf
CELL_PARAMETERS angstrom
-5.175 -2.223 -1.600
-4.933 2.923 1.181
-3.039 2.488 -4.342
ATOMIC_POSITIONS angstrom
Rb 0.000 0.000 0.000
K -9.860 2.391 -3.570
K -3.287 0.797 -1.190
Pt -6.574 1.594 -2.380

---

! K12Rb6Pt PBE relaxed; values from VASP
! **SG**: R-3m, No. 166
! **Theoretical density**: 1.416 g/cm3
! **Size of the total moment**: 0.00 μB/f.u.
! **Formation energy from the elements**: 0.0103 eV per atom
! **Final energy**: -1.31 eV per atom
&SYSTEM
  ibrav = 0, nat = 19, ntyp = 3
/
ATOMIC_SPECIES
Rb 85.47 Rb.upf
K 39.10 K.upf
Pt 195.08 Pt.upf
CELL_PARAMETERS angstrom
11.013 2.750 -0.334
-0.417 11.343 -0.334
2.067 2.750 10.822
ATOMIC_POSITIONS angstrom
Rb 7.126 13.535 8.835
Rb 10.178 13.531 5.036
Rb 5.537 3.307 1.319
Rb 11.020 10.605 8.840
Rb 1.644 6.238 1.314
Rb 2.485 3.312 5.118
K 3.072 8.054 5.524
K 10.638 5.936 8.528
K 6.888 5.188 5.519
K 6.055 8.058 1.798
K 5.775 11.655 4.635
K 8.922 11.868 0.829
K 6.609 8.785 8.356
K 2.026 10.907 1.626
K 9.592 8.788 4.630
K 9.915 4.976 1.624
K 3.742 4.975 9.325
K 2.749 11.867 8.530
Pt 0.000 0.000 0.000

---

! K2RbPt PBE relaxed; values from VASP
! **SG**: R-3m, No. 166
! **Theoretical density**: 3.014 g/cm3
! **Size of the total moment**: 0.00 μB/f.u.
! **Formation energy from the elements**: 0.6750 eV per atom
! **Final energy**: -1.63 eV per atom
&SYSTEM
  ibrav = 0, nat = 4, ntyp = 3
/
ATOMIC_SPECIES
K 39.10 K.upf
Rb 85.47 Rb.upf
Pt 195.08 Pt.upf
CELL_PARAMETERS angstrom
3.992 0.000 0.000
1.996 3.457 0.000
1.996 1.152 14.319
ATOMIC_POSITIONS angstrom
K 5.988 3.457 2.871
K 1.996 1.152 11.447
Rb 3.992 2.305 7.159
Pt 0.000 0.000 0.000

---

! K6Rb2Pt PBE relaxed; values from VASP
! **SG**: C2/m, No. 12
! **Theoretical density**: 1.703 g/cm3
! **Size of the total moment**: 0.00 μB/f.u.
! **Formation energy from the elements**: 0.0132 eV per atom
! **Final energy**: -1.60 eV per atom
&SYSTEM
  ibrav = 0, nat = 9, ntyp = 3
/
ATOMIC_SPECIES
K 39.10 K.upf
Rb 85.47 Rb.upf
Pt 195.08 Pt.upf
CELL_PARAMETERS angstrom
-4.921 1.323 7.886
-8.274 -4.289 1.142
-0.854 -6.977 6.229
ATOMIC_POSITIONS angstrom
K -6.024 -1.970 7.751
K -8.026 -7.973 7.506
K -4.080 -5.924 6.958
K -6.428 -5.298 10.721
K -9.969 -4.018 8.300
K -7.622 -4.645 4.536
Rb -10.538 -7.459 11.445
Rb -3.512 -2.484 3.812
Pt -7.025 -4.971 7.629

---

! KRb3Pt PBE relaxed; values from VASP
! **SG**: Pm-3m, No. 221
! **Energy above the most stable polymorph in this dataset**: 85 meV/atom
! **Theoretical density**: 2.734 g/cm3
! **Size of the total moment**: 0.00 μB/f.u.
! **Formation energy from the elements**: 0.0712 eV per atom
! **Final energy**: -1.94 eV per atom
&SYSTEM
  ibrav = 0, nat = 5, ntyp = 3
/
ATOMIC_SPECIES
Rb 85.47 Rb.upf
K 39.10 K.upf
Pt 195.08 Pt.upf
CELL_PARAMETERS angstrom
-2.928 5.975 0.582
-2.524 -1.813 5.912
5.447 2.371 3.053
ATOMIC_POSITIONS angstrom
Rb -1.262 -0.906 2.956
Rb -1.464 2.988 0.291
Rb 2.723 1.186 1.526
K -0.002 3.267 4.774
Pt 0.000 0.000 0.000

---

! K3RbPt PBE relaxed; values from VASP
! **SG**: Pm-3m, No. 221
! **Energy above the most stable polymorph in this dataset**: 77 meV/atom
! **Theoretical density**: 2.486 g/cm3
! **Size of the total moment**: 0.00 μB/f.u.
! **Formation energy from the elements**: 0.0422 eV per atom
! **Final energy**: -2.02 eV per atom
&SYSTEM
  ibrav = 0, nat = 5, ntyp = 3
/
ATOMIC_SPECIES
Rb 85.47 Rb.upf
K 39.10 K.upf
Pt 195.08 Pt.upf
CELL_PARAMETERS angstrom
-5.599 -1.171 -2.933
1.254 -6.304 0.123
-2.899 -0.465 5.719
ATOMIC_POSITIONS angstrom
Rb -3.622 -3.970 1.455
K 0.627 -3.152 0.062
K -2.800 -0.585 -1.467
K -1.449 -0.232 2.860
Pt 0.000 0.000 0.000

---

! KRbPt2 PBE relaxed; values from VASP
! **SG**: Fm-3m, No. 225
! **Energy above the most stable polymorph in this dataset**: 252 meV/atom
! **Theoretical density**: 7.840 g/cm3
! **Size of the total moment**: 0.00 μB/f.u.
! **Formation energy from the elements**: 0.6523 eV per atom
! **Final energy**: -2.88 eV per atom
&SYSTEM
  ibrav = 0, nat = 4, ntyp = 3
/
ATOMIC_SPECIES
Rb 85.47 Rb.upf
Pt 195.08 Pt.upf
K 39.10 K.upf
CELL_PARAMETERS angstrom
0.000 3.792 3.792
3.792 0.000 3.792
3.792 3.792 0.000
ATOMIC_POSITIONS angstrom
Rb 3.792 3.792 3.792
Pt 5.687 5.687 5.687
Pt 1.896 1.896 1.896
K 0.000 0.000 0.000

---

! K5Rb4Pt PBE relaxed; values from VASP
! **SG**: I4/mmm, No. 139
! **Theoretical density**: 1.772 g/cm3
! **Size of the total moment**: 0.00 μB/f.u.
! **Formation energy from the elements**: 0.0192 eV per atom
! **Final energy**: -1.52 eV per atom
&SYSTEM
  ibrav = 0, nat = 10, ntyp = 3
/
ATOMIC_SPECIES
K 39.10 K.upf
Rb 85.47 Rb.upf
Pt 195.08 Pt.upf
CELL_PARAMETERS angstrom
0.551 5.941 -2.683
-6.823 6.547 5.120
7.611 5.338 5.406
ATOMIC_POSITIONS angstrom
K -1.471 11.150 8.452
K 0.275 2.964 -1.339
K 5.976 12.374 4.714
K -4.639 5.440 3.134
K 2.808 6.663 -0.604
Rb 0.986 12.917 4.892
Rb -1.854 9.119 3.874
Rb 0.352 4.897 2.957
Rb 3.192 8.696 3.974
Pt 0.550 5.935 -2.680

---

! KRb4Pt PBE relaxed; values from VASP
! **SG**: C2/m, No. 12
! **Theoretical density**: 2.453 g/cm3
! **Size of the total moment**: 0.00 μB/f.u.
! **Formation energy from the elements**: 0.0297 eV per atom
! **Final energy**: -1.81 eV per atom
&SYSTEM
  ibrav = 0, nat = 12, ntyp = 3
/
ATOMIC_SPECIES
Rb 85.47 Rb.upf
Pt 195.08 Pt.upf
K 39.10 K.upf
CELL_PARAMETERS angstrom
-4.713 -5.772 2.975
7.354 -5.800 0.396
-0.245 7.850 8.557
ATOMIC_POSITIONS angstrom
Rb 3.233 -6.830 3.883
Rb 2.676 0.338 8.234
Rb 3.725 -2.580 3.992
Rb -0.836 3.108 8.045
Rb -1.328 -1.142 7.936
Rb 2.053 -1.619 0.111
Rb -0.279 -4.060 3.694
Rb 5.301 -4.181 0.285
Pt 2.151 -4.739 1.609
Pt 0.247 1.017 10.319
K 1.800 -4.746 8.018
K 0.597 1.024 3.910

---

! K3Rb6Pt PBE relaxed; values from VASP
! **SG**: R-3m, No. 166
! **Theoretical density**: 1.889 g/cm3
! **Size of the total moment**: 0.00 μB/f.u.
! **Formation energy from the elements**: 0.0174 eV per atom
! **Final energy**: -1.50 eV per atom
&SYSTEM
  ibrav = 0, nat = 20, ntyp = 3
/
ATOMIC_SPECIES
Pt 195.08 Pt.upf
K 39.10 K.upf
Rb 85.47 Rb.upf
CELL_PARAMETERS angstrom
11.272 -0.076 2.549
2.021 11.090 2.549
-0.092 -0.076 11.557
ATOMIC_POSITIONS angstrom
Pt 0.000 0.000 0.000
Pt 6.600 5.469 8.328
K 10.703 5.788 13.504
K 7.677 9.441 13.504
K 5.524 1.497 3.152
K 1.807 1.497 6.098
K 2.498 5.150 3.152
K 11.394 9.441 10.557
Rb 9.385 1.338 11.841
Rb 2.371 1.965 10.973
Rb 6.301 2.221 7.950
Rb 6.974 5.779 5.081
Rb 6.227 5.159 11.575
Rb 6.900 8.716 8.705
Rb 3.354 5.778 7.950
Rb 3.059 8.973 11.841
Rb 10.830 8.973 5.682
Rb 3.816 9.600 4.814
Rb 9.847 5.159 8.705
Rb 10.142 1.965 4.814

---

! K14RbPt PBE relaxed; values from VASP
! **SG**: Amm2, No. 38
! **Theoretical density**: 1.281 g/cm3
! **Size of the total moment**: 0.00 μB/f.u.
! **Formation energy from the elements**: 0.0269 eV per atom
! **Final energy**: -1.37 eV per atom
&SYSTEM
  ibrav = 0, nat = 16, ntyp = 3
/
ATOMIC_SPECIES
Pt 195.08 Pt.upf
K 39.10 K.upf
Rb 85.47 Rb.upf
CELL_PARAMETERS angstrom
-5.307 -4.765 6.349
-5.211 -1.095 -7.926
5.994 -10.072 -2.549
ATOMIC_POSITIONS angstrom
Pt -2.286 -8.892 1.541
K -1.568 -5.706 0.524
K -3.663 -7.066 3.934
K -8.044 -3.947 -3.322
K -2.981 -11.192 -0.896
K -0.934 -11.651 2.774
K -3.772 -4.851 -3.561
K -5.025 -9.021 -4.393
K -5.081 -7.663 -0.003
K -5.268 -3.288 0.603
K -5.221 -1.496 -6.365
K 0.532 -9.234 -0.369
K -2.444 -0.827 -2.482
K -0.722 -9.977 -4.859
K 0.527 -5.927 -3.560
Rb -2.225 -6.573 -7.480